# Li4Ni7O11

Crystalline Li4Ni7O11 at its relaxed geometry (GGA+U, Alexandria).

## Properties
crystal system: triclinic
E_tot: -4.863 eV/atom
space-group type: P-1
DOS at the Fermi energy: 0.278 states/eV/atom

Cell and atoms, written as POSCAR:
```
Li4Ni7O11
1.0
5.082 0.000 0.000
-0.834 8.735 0.000
-0.938 -4.012 8.777
Li Ni O
8 14 22
Cartesian
-0.046 1.268 0.794
0.014 3.664 2.356
-0.077 6.151 3.967
0.786 2.320 7.197
2.523 2.404 1.580
3.387 -1.427 4.810
3.296 1.060 6.421
3.356 3.455 7.983
-0.889 3.568 5.212
-0.089 -2.696 6.779
-0.091 -0.277 8.401
0.792 -0.162 5.583
0.846 6.193 1.192
1.668 -0.076 2.794
2.541 0.000 0.000
1.655 2.362 4.388
1.642 4.799 5.983
2.464 -1.470 7.585
2.518 4.885 3.194
3.401 5.000 0.376
3.399 7.419 1.998
4.199 1.155 3.564
-0.852 -0.820 6.598
-0.042 -0.674 3.792
-0.866 1.596 8.312
0.092 7.955 1.021
0.094 1.754 5.293
-0.069 4.223 6.981
0.854 1.818 2.740
0.755 -2.164 8.556
0.885 4.087 4.210
1.669 4.465 1.374
1.660 -1.987 5.897
1.650 6.711 2.880
1.641 0.259 7.402
2.425 0.637 4.566
2.555 6.888 0.221
2.456 2.905 6.037
3.379 0.500 1.795
3.216 2.970 3.484
3.218 -3.231 7.756
4.176 3.127 0.464
3.352 5.398 4.985
4.161 5.543 2.179
```